Material: Nd4GaNi3
Method: DFT, PBE-GGA
State: optimized geometry

Properties
The calculation puts the density of states at the Fermi level at 0.827 states/eV/atom. Its crystal system is orthorhombic. For the energy relative to the elements, the calculation gives -0.3689 eV/atom.

Cell: 3.934 4.366 10.764 Å, 90.00 90.00 90.00°
Fractional coordinates of all 8 atoms:
1 Nd 0.000 0.000 0.000
2 Nd 0.000 0.500 0.264
3 Nd 0.500 0.000 0.478
4 Nd 0.500 0.500 0.772
5 Ga 0.000 0.000 0.695
6 Ni 0.000 0.500 0.559
7 Ni 0.500 0.000 0.199
8 Ni 0.500 0.500 0.067